Compound: PmHfBe
Source: the Open Quantum Materials Database
Functional: PBE-GGA
Structure: relaxed

The structure in CIF format:
```
data_PmHfBe
_chemical_formula_sum 'Pm4 Hf4 Be4'
_symmetry_space_group_name_H-M 'F -4 3 m'
_symmetry_Int_Tables_number 216
_symmetry_space_group_name_Hall 'F -4 2 3'
_cell_length_a 6.550
_cell_length_b 6.550
_cell_length_c 6.550
_cell_angle_alpha 90.00
_cell_angle_beta 90.00
_cell_angle_gamma 90.00
loop_
_atom_site_label
_atom_site_fract_x
_atom_site_fract_y
_atom_site_fract_z
_atom_site_occupancy
Pm1 0.000 0.000 0.000 1
Hf1 0.250 0.250 0.750 1
Be1 0.000 0.000 0.500 1
```

## Properties
- Total DFT energy (no corrections): -5.023 eV/atom
- Magnetic moment: 3.543 μB/cell